Computed, not measured: a relaxed structure of Y4Zr2Bi3C3 at the PBE level of DFT.

**SG**: C2/c, No. 15
**Energy**: -7.514 eV per atom

```
data_Y4Zr2Bi3C3
_chemical_formula_sum 'Y8 Zr4 Bi6 C6'
_space_group_name_H-M_alt 'P 1'
_space_group_IT_number 1
_space_group_name_Hall 'P 1'
_cell_length_a 6.233
_cell_length_b 6.233
_cell_length_c 15.677
_cell_angle_alpha 101.67
_cell_angle_beta 101.67
_cell_angle_gamma 60.09
loop_
_atom_site_label
_atom_site_type_symbol
_atom_site_fract_x
_atom_site_fract_y
_atom_site_fract_z
Y1 Y 0.035 0.192 0.088
Y2 Y 0.131 0.304 0.412
Y3 Y 0.192 0.035 0.588
Y4 Y 0.304 0.131 0.912
Y5 Y 0.696 0.869 0.088
Y6 Y 0.808 0.965 0.412
Y7 Y 0.869 0.696 0.588
Y8 Y 0.965 0.808 0.912
Zr1 Zr 0.355 0.526 0.077
Zr2 Zr 0.474 0.645 0.423
Zr3 Zr 0.526 0.355 0.577
Zr4 Zr 0.645 0.474 0.923
Bi1 Bi 0.102 0.898 0.250
Bi2 Bi 0.270 0.416 0.752
Bi3 Bi 0.416 0.270 0.252
Bi4 Bi 0.584 0.730 0.748
Bi5 Bi 0.730 0.584 0.248
Bi6 Bi 0.898 0.102 0.750
C1 C 0.000 0.500 0.000
C2 C 0.192 0.654 0.500
C3 C 0.346 0.808 0.000
C4 C 0.500 0.000 0.500
C5 C 0.654 0.192 0.000
C6 C 0.808 0.346 0.500
```

=====

Computed, not measured: a relaxed structure of ZnBi3C at the PBE level of DFT.

**SG**: Pm-3m, No. 221
**Energy**: -3.518 eV per atom

```
data_ZnBi3C
_chemical_formula_sum 'Zn1 Bi3 C1'
_space_group_name_H-M_alt 'P 1'
_space_group_IT_number 1
_space_group_name_Hall 'P 1'
_cell_length_a 4.999
_cell_length_b 4.999
_cell_length_c 4.999
_cell_angle_alpha 90.00
_cell_angle_beta 90.00
_cell_angle_gamma 90.00
loop_
_atom_site_label
_atom_site_type_symbol
_atom_site_fract_x
_atom_site_fract_y
_atom_site_fract_z
Zn1 Zn 0.000 0.000 0.000
Bi1 Bi 0.000 0.500 0.500
Bi2 Bi 0.500 0.000 0.500
Bi3 Bi 0.500 0.500 0.000
C1 C 0.500 0.500 0.500
```

=====

Computed, not measured: a relaxed structure of Zr4ZnBiC2 at the PBE level of DFT.

**SG**: P-6m2, No. 187
**Energy**: -7.816 eV per atom

```
data_Zr4ZnBiC2
_chemical_formula_sum 'Zr4 Zn1 Bi1 C2'
_space_group_name_H-M_alt 'P 1'
_space_group_IT_number 1
_space_group_name_Hall 'P 1'
_cell_length_a 3.396
_cell_length_b 3.396
_cell_length_c 14.493
_cell_angle_alpha 90.00
_cell_angle_beta 90.00
_cell_angle_gamma 120.00
loop_
_atom_site_label
_atom_site_type_symbol
_atom_site_fract_x
_atom_site_fract_y
_atom_site_fract_z
Zr1 Zr 0.000 0.000 0.157
Zr2 Zr 0.000 0.000 0.843
Zr3 Zr 0.667 0.333 0.328
Zr4 Zr 0.667 0.333 0.672
Zn1 Zn 0.667 0.333 0.000
Bi1 Bi 0.000 0.000 0.500
C1 C 0.333 0.667 0.243
C2 C 0.333 0.667 0.757
```

=====

Computed, not measured: a relaxed structure of Cd3Bi at the PBE level of DFT.

**SG**: P6_3cm, No. 185
**Energy**: -1.603 eV per atom

```
data_Cd3Bi
_chemical_formula_sum 'Cd18 Bi6'
_space_group_name_H-M_alt 'P 1'
_space_group_IT_number 1
_space_group_name_Hall 'P 1'
_cell_length_a 8.536
_cell_length_b 8.536
_cell_length_c 9.652
_cell_angle_alpha 90.00
_cell_angle_beta 90.00
_cell_angle_gamma 120.00
loop_
_atom_site_label
_atom_site_type_symbol
_atom_site_fract_x
_atom_site_fract_y
_atom_site_fract_z
Cd1 Cd 0.000 0.000 0.000
Cd2 Cd 0.000 0.000 0.500
Cd3 Cd 0.000 0.323 0.622
Cd4 Cd 0.000 0.340 0.936
Cd5 Cd 0.000 0.660 0.436
Cd6 Cd 0.000 0.677 0.122
Cd7 Cd 0.323 0.000 0.622
Cd8 Cd 0.323 0.323 0.122
Cd9 Cd 0.333 0.667 0.042
Cd10 Cd 0.333 0.667 0.542
Cd11 Cd 0.340 0.000 0.936
Cd12 Cd 0.340 0.340 0.436
Cd13 Cd 0.660 0.000 0.436
Cd14 Cd 0.660 0.660 0.936
Cd15 Cd 0.667 0.333 0.042
Cd16 Cd 0.667 0.333 0.542
Cd17 Cd 0.677 0.000 0.122
Cd18 Cd 0.677 0.677 0.622
Bi1 Bi 0.000 0.336 0.279
Bi2 Bi 0.000 0.664 0.779
Bi3 Bi 0.336 0.000 0.279
Bi4 Bi 0.336 0.336 0.779
Bi5 Bi 0.664 0.000 0.779
Bi6 Bi 0.664 0.664 0.279
```

=====

Computed, not measured: a relaxed structure of CdBi3 at the PBE level of DFT.

**Distance to the lowest polymorph of the same formula**: 0.0000 eV/atom
**SG**: Pnma, No. 62

```
data_CdBi3
_chemical_formula_sum 'Cd4 Bi12'
_space_group_name_H-M_alt 'P 1'
_space_group_IT_number 1
_space_group_name_Hall 'P 1'
_cell_length_a 9.590
_cell_length_b 4.247
_cell_length_c 12.223
_cell_angle_alpha 90.00
_cell_angle_beta 90.00
_cell_angle_gamma 90.00
loop_
_atom_site_label
_atom_site_type_symbol
_atom_site_fract_x
_atom_site_fract_y
_atom_site_fract_z
Cd1 Cd 0.112 0.250 0.032
Cd2 Cd 0.388 0.750 0.532
Cd3 Cd 0.612 0.250 0.468
Cd4 Cd 0.888 0.750 0.968
Bi1 Bi 0.053 0.750 0.228
Bi2 Bi 0.068 0.750 0.588
Bi3 Bi 0.221 0.750 0.853
Bi4 Bi 0.279 0.250 0.353
Bi5 Bi 0.432 0.250 0.088
Bi6 Bi 0.447 0.250 0.728
Bi7 Bi 0.553 0.750 0.272
Bi8 Bi 0.568 0.750 0.912
Bi9 Bi 0.721 0.750 0.647
Bi10 Bi 0.779 0.250 0.147
Bi11 Bi 0.932 0.250 0.412
Bi12 Bi 0.947 0.250 0.772
```

=====

Computed, not measured: a relaxed structure of Cd2Bi at the PBE level of DFT.

**SG**: Fd-3m, No. 227
**Energy**: -1.842 eV per atom

```
data_Cd2Bi
_chemical_formula_sum 'Cd4 Bi2'
_space_group_name_H-M_alt 'P 1'
_space_group_IT_number 1
_space_group_name_Hall 'P 1'
_cell_length_a 5.979
_cell_length_b 5.979
_cell_length_c 5.979
_cell_angle_alpha 60.00
_cell_angle_beta 60.00
_cell_angle_gamma 60.00
loop_
_atom_site_label
_atom_site_type_symbol
_atom_site_fract_x
_atom_site_fract_y
_atom_site_fract_z
Cd1 Cd 0.000 0.000 0.000
Cd2 Cd 0.000 0.000 0.500
Cd3 Cd 0.000 0.500 0.000
Cd4 Cd 0.500 0.000 0.000
Bi1 Bi 0.375 0.375 0.375
Bi2 Bi 0.625 0.625 0.625
```